Entry 1:
Material: Be2ZnIr
Method: DFT, PBE
State: relaxed

Cell and atoms, written as POSCAR:
```
Be2ZnIr
1.0
5.707 0.000 0.000
0.000 5.707 0.000
0.000 0.000 5.707
Be Zn Ir
8 4 4
direct
0.000 0.000 0.000
0.000 0.500 0.500
0.250 0.250 0.250
0.250 0.750 0.750
0.500 0.000 0.500
0.500 0.500 0.000
0.750 0.250 0.750
0.750 0.750 0.250
0.250 0.250 0.750
0.250 0.750 0.250
0.750 0.250 0.250
0.750 0.750 0.750
0.000 0.000 0.500
0.000 0.500 0.000
0.500 0.000 0.000
0.500 0.500 0.500
```

Output
Size of the total moment   0.0 μB/f.u.
Calculated volume   11.62 A^3/atom
Raw total energy   -4.494 eV per atom
SG   F-43m (216)

Entry 2:
Material: ZrBe2Ir
Method: DFT, PBE
State: relaxed

Cell and atoms, written as POSCAR:
```
ZrBe2Ir
1.0
6.086 0.000 0.000
0.000 6.086 0.000
0.000 0.000 6.086
Zr Be Ir
4 8 4
direct
0.000 0.000 0.000
0.000 0.500 0.500
0.500 0.000 0.500
0.500 0.500 0.000
0.000 0.000 0.500
0.000 0.500 0.000
0.250 0.250 0.750
0.250 0.750 0.250
0.500 0.000 0.000
0.500 0.500 0.500
0.750 0.250 0.250
0.750 0.750 0.750
0.250 0.250 0.250
0.250 0.750 0.750
0.750 0.250 0.750
0.750 0.750 0.250
```

Output
Size of the total moment   0.0 μB/f.u.
Calculated volume   14.09 A^3/atom
Raw total energy   -6.467 eV per atom
SG   F-43m (216)

Entry 3:
Material: ZrBeIr2
Method: DFT, PBE
State: relaxed

Cell and atoms, written as POSCAR:
```
ZrBeIr2
1.0
6.265 0.000 0.000
0.000 6.265 0.000
0.000 0.000 6.265
Zr Be Ir
4 4 8
direct
0.000 0.000 0.000
0.000 0.500 0.500
0.500 0.000 0.500
0.500 0.500 0.000
0.250 0.250 0.750
0.250 0.750 0.250
0.750 0.250 0.250
0.750 0.750 0.750
0.000 0.000 0.500
0.000 0.500 0.000
0.250 0.250 0.250
0.250 0.750 0.750
0.500 0.000 0.000
0.500 0.500 0.500
0.750 0.250 0.750
0.750 0.750 0.250
```

Output
Size of the total moment   0.0 μB/f.u.
Calculated volume   15.37 A^3/atom
Raw total energy   -7.623 eV per atom
SG   F-43m (216)

Entry 4:
Material: KLuBeS3
Method: DFT, PBE
State: relaxed

Cell and atoms, written as POSCAR:
```
KLuBeS3
1.0
1.890 -7.089 0.000
1.890 7.089 0.000
0.000 0.000 10.221
K Lu Be S
2 2 2 6
direct
0.243 0.757 0.750
0.757 0.243 0.250
0.500 0.500 0.000
0.500 0.500 0.500
0.037 0.963 0.250
0.963 0.037 0.750
0.118 0.882 0.079
0.118 0.882 0.421
0.445 0.555 0.250
0.555 0.445 0.750
0.882 0.118 0.579
0.882 0.118 0.921
```

Output
Size of the total moment   0.0 μB/f.u.
Calculated volume   22.82 A^3/atom
Raw total energy   -5.203 eV per atom
SG   Cmcm (63)

Entry 5:
Material: KLuBeTe3
Method: DFT, PBE
State: relaxed

Cell and atoms, written as POSCAR:
```
KLuBeTe3
1.0
2.112 -7.988 0.000
2.112 7.988 0.000
0.000 0.000 11.456
K Lu Be Te
2 2 2 6
direct
0.246 0.754 0.750
0.754 0.246 0.250
0.500 0.500 0.000
0.500 0.500 0.500
0.035 0.965 0.250
0.965 0.035 0.750
0.123 0.877 0.073
0.123 0.877 0.427
0.438 0.562 0.250
0.562 0.438 0.750
0.877 0.123 0.573
0.877 0.123 0.927
```

Output
Size of the total moment   0.0 μB/f.u.
Calculated volume   32.21 A^3/atom
Raw total energy   -4.121 eV per atom
SG   Cmcm (63)

Entry 6:
Material: KBeMo
Method: DFT, PBE
State: relaxed

Cell and atoms, written as POSCAR:
```
KBeMo
1.0
6.616 0.000 0.000
0.000 6.616 0.000
0.000 0.000 6.616
K Be Mo
4 4 4
direct
0.000 0.000 0.000
0.000 0.500 0.500
0.500 0.000 0.500
0.500 0.500 0.000
0.250 0.250 0.250
0.250 0.750 0.750
0.750 0.250 0.750
0.750 0.750 0.250
0.000 0.000 0.500
0.000 0.500 0.000
0.500 0.000 0.000
0.500 0.500 0.500
```

Output
Size of the total moment   3.2 μB/f.u.
Distance to the lowest polymorph of the same formula   0 meV/atom
Calculated volume   24.14 A^3/atom
SG   F-43m (216)